LaMnCu: PBEsol geometry, SCAN.

a = 3.3212 Å, b = 3.3212 Å, c = 10.5263 Å
α = 90.00°, β = 90.00°, γ = 90.00°
Last column: nearest neighbours and their distance in Å.
Space group I4mm (No. 107)
Inequivalent atoms, fractional coordinates:
La 0.0000 0.0000 0.0000 (multiplicity 2)  5 Mn 3.09-3.20, 5 Cu 3.13-3.17, 4 La 3.32
Mn 0.0000 0.0000 0.7067 (multiplicity 2)  4 Cu 2.54
Cu 0.0000 0.0000 0.2976 (multiplicity 2)  4 Mn 2.54

Output
Energy   -25.5444 eV/atom
ΔE_f   -0.025 eV/atom
Crystal system   tetragonal